(1)
! PmTmTlNi PBE-GGA optimized geometry; values from VASP
! DFT formation energy in eV per atom: -0.22
! Electronic total energy in eV/atom: -4.5636
! Calculated volume in Å³/f.u.: 97
&SYSTEM
  ibrav = 0, nat = 4, ntyp = 4
/
ATOMIC_SPECIES
Tm 168.93 Tm.upf
Tl 204.38 Tl.upf
Ni 58.69 Ni.upf
Pm 145.00 Pm.upf
ATOMIC_POSITIONS crystal
Tm 0.500 0.500 0.500
Tl 0.750 0.750 0.750
Ni 0.250 0.250 0.250
Pm 0.000 0.000 0.000
CELL_PARAMETERS angstrom
5.150 0.000 0.000
2.575 4.460 0.000
2.575 1.487 4.205


(2)
! PmYTlNi PBE-GGA optimized geometry; values from VASP
! DFT formation energy in eV per atom: -0.23
! Electronic total energy in eV/atom: -5.0674
! Calculated volume in Å³/f.u.: 99
&SYSTEM
  ibrav = 0, nat = 4, ntyp = 4
/
ATOMIC_SPECIES
Pm 145.00 Pm.upf
Ni 58.69 Ni.upf
Y 88.91 Y.upf
Tl 204.38 Tl.upf
ATOMIC_POSITIONS crystal
Pm 0.250 0.250 0.250
Ni 0.000 0.000 0.000
Y 0.750 0.750 0.750
Tl 0.500 0.500 0.500
CELL_PARAMETERS angstrom
5.191 0.000 0.000
2.596 4.496 0.000
2.596 1.499 4.239


(3)
! PmTlZnNi PBE-GGA optimized geometry; values from VASP
! DFT formation energy in eV per atom: -0.17
! Electronic total energy in eV/atom: -3.7147
! Calculated volume in Å³/f.u.: 80
&SYSTEM
  ibrav = 0, nat = 4, ntyp = 4
/
ATOMIC_SPECIES
Zn 65.41 Zn.upf
Ni 58.69 Ni.upf
Tl 204.38 Tl.upf
Pm 145.00 Pm.upf
ATOMIC_POSITIONS crystal
Zn 0.250 0.250 0.250
Ni 0.750 0.750 0.750
Tl 0.500 0.500 0.500
Pm 0.000 0.000 0.000
CELL_PARAMETERS angstrom
4.827 0.000 0.000
2.414 4.181 0.000
2.414 1.394 3.941


(4)
! Pm2TmNi2 PBE-GGA optimized geometry; values from VASP
! Energy relative to the lowest polymorph listed for this composition in meV per atom: 0
! DFT formation energy in eV per atom: -0.28
! Electronic total energy in eV/atom: -5.3826
! Calculated volume in Å³/f.u.: 114
&SYSTEM
  ibrav = 0, nat = 10, ntyp = 3
/
ATOMIC_SPECIES
Pm 145.00 Pm.upf
Ni 58.69 Ni.upf
Tm 168.93 Tm.upf
ATOMIC_POSITIONS crystal
Pm 0.500 0.668 0.832
Pm 0.500 0.168 0.668
Pm 0.500 0.332 0.168
Pm 0.500 0.832 0.332
Ni 0.000 0.622 0.122
Ni 0.000 0.122 0.378
Ni 0.000 0.378 0.878
Ni 0.000 0.878 0.622
Tm 0.000 0.500 0.500
Tm 0.000 0.000 0.000
CELL_PARAMETERS angstrom
3.927 0.000 0.000
0.000 7.608 0.000
0.000 0.000 7.608


(5)
! PmTm2Ni PBE-GGA optimized geometry; values from VASP
! Energy relative to the lowest polymorph listed for this composition in meV per atom: 0
! DFT formation energy in eV per atom: -0.22
! Electronic total energy in eV/atom: -5.0840
! Calculated volume in Å³/f.u.: 103
&SYSTEM
  ibrav = 0, nat = 8, ntyp = 3
/
ATOMIC_SPECIES
Tm 168.93 Tm.upf
Pm 145.00 Pm.upf
Ni 58.69 Ni.upf
ATOMIC_POSITIONS crystal
Tm 0.639 0.278 0.070
Tm 0.639 0.278 0.430
Tm 0.361 0.722 0.930
Tm 0.361 0.722 0.570
Pm 0.924 0.848 0.250
Pm 0.076 0.152 0.750
Ni 0.764 0.528 0.750
Ni 0.236 0.472 0.250
CELL_PARAMETERS angstrom
3.624 0.000 0.000
-1.810 6.063 0.000
0.000 0.000 9.377


(6)
! PmTmNi2 PBE-GGA optimized geometry; values from VASP
! Energy relative to the lowest polymorph listed for this composition in meV per atom: 0
! DFT formation energy in eV per atom: -0.42
! Electronic total energy in eV/atom: -5.6139
! Calculated volume in Å³/f.u.: 81
&SYSTEM
  ibrav = 0, nat = 4, ntyp = 3
/
ATOMIC_SPECIES
Ni 58.69 Ni.upf
Tm 168.93 Tm.upf
Pm 145.00 Pm.upf
ATOMIC_POSITIONS crystal
Ni 0.157 0.500 0.853
Ni 0.014 0.000 0.567
Tm 0.719 0.000 0.977
Pm 0.441 0.500 0.421
CELL_PARAMETERS angstrom
3.763 0.000 -0.026
0.000 4.232 0.000
-1.849 0.000 5.124


(7)
! PmTm2Ni PBE-GGA optimized geometry; values from VASP
! Energy relative to the lowest polymorph listed for this composition in meV per atom: 4
! DFT formation energy in eV per atom: -0.21
! Electronic total energy in eV/atom: -5.0799
! Calculated volume in Å³/f.u.: 101
&SYSTEM
  ibrav = 0, nat = 4, ntyp = 3
/
ATOMIC_SPECIES
Pm 145.00 Pm.upf
Ni 58.69 Ni.upf
Tm 168.93 Tm.upf
ATOMIC_POSITIONS crystal
Pm 0.500 0.500 0.500
Ni 0.500 0.500 0.000
Tm 0.000 0.000 0.818
Tm 0.000 0.000 0.182
CELL_PARAMETERS angstrom
3.404 0.000 0.000
0.000 3.404 0.000
0.000 0.000 8.707


(8)
! PmTm12Ni6 PBE-GGA optimized geometry; values from VASP
! DFT formation energy in eV per atom: -0.26
! Electronic total energy in eV/atom: -5.1644
! Calculated volume in Å³/f.u.: 458
&SYSTEM
  ibrav = 0, nat = 19, ntyp = 3
/
ATOMIC_SPECIES
Tm 168.93 Tm.upf
Ni 58.69 Ni.upf
Pm 145.00 Pm.upf
ATOMIC_POSITIONS crystal
Tm 0.184 0.311 0.495
Tm 0.311 0.495 0.184
Tm 0.495 0.184 0.311
Tm 0.184 0.689 0.874
Tm 0.816 0.311 0.126
Tm 0.126 0.816 0.311
Tm 0.689 0.505 0.816
Tm 0.816 0.689 0.505
Tm 0.874 0.184 0.689
Tm 0.311 0.126 0.816
Tm 0.689 0.874 0.184
Tm 0.505 0.816 0.689
Ni 0.876 0.376 0.500
Ni 0.624 0.500 0.124
Ni 0.500 0.876 0.376
Ni 0.376 0.500 0.876
Ni 0.124 0.624 0.500
Ni 0.500 0.124 0.624
Pm 0.000 0.000 0.000
CELL_PARAMETERS angstrom
7.929 0.000 -2.803
-3.964 6.867 -2.803
0.000 0.000 8.410


(9)
! PmTm2Ni PBE-GGA optimized geometry; values from VASP
! Energy relative to the lowest polymorph listed for this composition in meV per atom: 80
! DFT formation energy in eV per atom: -0.14
! Electronic total energy in eV/atom: -5.0045
! Calculated volume in Å³/f.u.: 110
&SYSTEM
  ibrav = 0, nat = 4, ntyp = 3
/
ATOMIC_SPECIES
Ni 58.69 Ni.upf
Tm 168.93 Tm.upf
Pm 145.00 Pm.upf
ATOMIC_POSITIONS crystal
Ni 0.665 0.665 0.004
Tm 0.057 0.057 0.829
Tm 0.276 0.276 0.173
Pm 0.502 0.502 0.494
CELL_PARAMETERS angstrom
3.791 0.000 0.000
1.896 3.283 0.000
1.896 1.094 8.842


(10)
! PmTm2Ni2 PBE-GGA optimized geometry; values from VASP
! DFT formation energy in eV per atom: -0.25
! Electronic total energy in eV/atom: -5.3061
! Calculated volume in Å³/f.u.: 115
&SYSTEM
  ibrav = 0, nat = 5, ntyp = 3
/
ATOMIC_SPECIES
Ni 58.69 Ni.upf
Tm 168.93 Tm.upf
Pm 145.00 Pm.upf
ATOMIC_POSITIONS crystal
Ni 0.718 0.116 0.436
Ni 0.282 0.884 0.564
Tm 0.350 0.413 0.701
Tm 0.650 0.587 0.299
Pm 0.000 0.000 0.000
CELL_PARAMETERS angstrom
3.788 0.000 0.000
0.000 5.459 0.088
-1.894 -1.480 5.551


(11)
! Pm4TmNi5 PBE-GGA optimized geometry; values from VASP
! DFT formation energy in eV per atom: -0.29
! Electronic total energy in eV/atom: -5.5305
! Calculated volume in Å³/f.u.: 204
&SYSTEM
  ibrav = 0, nat = 10, ntyp = 3
/
ATOMIC_SPECIES
Ni 58.69 Ni.upf
Pm 145.00 Pm.upf
Tm 168.93 Tm.upf
ATOMIC_POSITIONS crystal
Ni 0.500 0.500 0.703
Ni 0.500 0.500 0.297
Ni 0.500 0.500 0.091
Ni 0.500 0.500 0.500
Ni 0.500 0.500 0.909
Pm 0.000 0.000 0.195
Pm 0.000 0.000 0.805
Pm 0.000 0.000 0.398
Pm 0.000 0.000 0.602
Tm 0.000 0.000 0.000
CELL_PARAMETERS angstrom
3.422 0.000 0.000
0.000 3.422 0.000
0.000 0.000 17.375


(12)
! PmTmNi2 PBE-GGA optimized geometry; values from VASP
! Energy relative to the lowest polymorph listed for this composition in meV per atom: 74
! DFT formation energy in eV per atom: -0.34
! Electronic total energy in eV/atom: -5.5398
! Calculated volume in Å³/f.u.: 79
&SYSTEM
  ibrav = 0, nat = 4, ntyp = 3
/
ATOMIC_SPECIES
Pm 145.00 Pm.upf
Ni 58.69 Ni.upf
Tm 168.93 Tm.upf
ATOMIC_POSITIONS crystal
Pm 0.500 0.500 0.500
Ni 0.750 0.750 0.750
Ni 0.250 0.250 0.250
Tm 0.000 0.000 0.000
CELL_PARAMETERS angstrom
-0.088 0.594 -4.771
-0.217 -3.832 -2.897
-4.024 -0.926 -2.464


(13)
! Pm2Tm2Ni15 PBE-GGA optimized geometry; values from VASP
! DFT formation energy in eV per atom: -0.24
! Electronic total energy in eV/atom: -5.7769
! Calculated volume in Å³/f.u.: 267
&SYSTEM
  ibrav = 0, nat = 19, ntyp = 3
/
ATOMIC_SPECIES
Ni 58.69 Ni.upf
Pm 145.00 Pm.upf
Tm 168.93 Tm.upf
ATOMIC_POSITIONS crystal
Ni 0.347 0.347 0.836
Ni 0.695 0.305 0.000
Ni 0.695 0.000 0.305
Ni 0.653 0.164 0.653
Ni 0.164 0.653 0.653
Ni 0.305 0.000 0.695
Ni 0.000 0.000 0.500
Ni 0.500 0.000 0.000
Ni 0.836 0.347 0.347
Ni 0.305 0.695 0.000
Ni 0.000 0.695 0.305
Ni 0.000 0.500 0.000
Ni 0.653 0.653 0.164
Ni 0.000 0.305 0.695
Ni 0.347 0.836 0.347
Pm 0.642 0.642 0.642
Pm 0.358 0.358 0.358
Tm 0.890 0.890 0.890
Tm 0.110 0.110 0.110
CELL_PARAMETERS angstrom
-5.402 -1.620 3.212
2.803 -3.536 4.666
0.277 4.631 4.539


(14)
! PmTm2Ni3 PBE-GGA optimized geometry; values from VASP
! DFT formation energy in eV per atom: -0.38
! Electronic total energy in eV/atom: -5.5578
! Calculated volume in Å³/f.u.: 115
&SYSTEM
  ibrav = 0, nat = 6, ntyp = 3
/
ATOMIC_SPECIES
Pm 145.00 Pm.upf
Tm 168.93 Tm.upf
Ni 58.69 Ni.upf
ATOMIC_POSITIONS crystal
Pm 0.500 0.500 0.500
Tm 0.500 0.500 0.838
Tm 0.500 0.500 0.162
Ni 0.000 0.000 0.318
Ni 0.000 0.000 0.000
Ni 0.000 0.000 0.682
CELL_PARAMETERS angstrom
3.366 0.000 0.000
0.000 3.366 0.000
0.000 0.000 10.152


(15)
! Pm2TmNi2 PBE-GGA optimized geometry; values from VASP
! Energy relative to the lowest polymorph listed for this composition in meV per atom: 6
! DFT formation energy in eV per atom: -0.27
! Electronic total energy in eV/atom: -5.3764
! Calculated volume in Å³/f.u.: 121
&SYSTEM
  ibrav = 0, nat = 10, ntyp = 3
/
ATOMIC_SPECIES
Tm 168.93 Tm.upf
Pm 145.00 Pm.upf
Ni 58.69 Ni.upf
ATOMIC_POSITIONS crystal
Tm 0.750 0.188 0.794
Tm 0.250 0.812 0.206
Pm 0.250 0.765 0.877
Pm 0.750 0.710 0.464
Pm 0.750 0.235 0.123
Pm 0.250 0.290 0.536
Ni 0.750 0.657 0.026
Ni 0.250 0.901 0.645
Ni 0.750 0.099 0.355
Ni 0.250 0.343 0.974
CELL_PARAMETERS angstrom
4.349 0.000 0.000
0.000 5.382 -0.830
0.000 -2.963 10.793


(16)
! PmTm2Ni PBE-GGA optimized geometry; values from VASP
! Energy relative to the lowest polymorph listed for this composition in meV per atom: 106
! DFT formation energy in eV per atom: -0.11
! Electronic total energy in eV/atom: -4.9776
! Calculated volume in Å³/f.u.: 110
&SYSTEM
  ibrav = 0, nat = 4, ntyp = 3
/
ATOMIC_SPECIES
Pm 145.00 Pm.upf
Tm 168.93 Tm.upf
Ni 58.69 Ni.upf
ATOMIC_POSITIONS crystal
Pm 0.500 0.500 0.500
Tm 0.725 0.725 0.826
Tm 0.275 0.275 0.174
Ni 0.000 0.000 0.000
CELL_PARAMETERS angstrom
3.696 0.000 0.000
1.848 3.201 0.000
1.848 1.067 9.269


(17)
! PmTm4Ni PBE-GGA optimized geometry; values from VASP
! DFT formation energy in eV per atom: -0.09
! Electronic total energy in eV/atom: -4.8278
! Calculated volume in Å³/f.u.: 172
&SYSTEM
  ibrav = 0, nat = 12, ntyp = 3
/
ATOMIC_SPECIES
Tm 168.93 Tm.upf
Pm 145.00 Pm.upf
Ni 58.69 Ni.upf
ATOMIC_POSITIONS crystal
Tm 0.318 0.527 0.807
Tm 0.682 0.473 0.193
Tm 0.489 0.027 0.807
Tm 0.713 0.361 0.608
Tm 0.511 0.973 0.193
Tm 0.105 0.139 0.392
Tm 0.895 0.861 0.608
Tm 0.287 0.639 0.392
Pm 0.930 0.750 0.000
Pm 0.070 0.250 0.000
Ni 0.000 0.500 0.500
Ni 0.500 0.000 0.500
CELL_PARAMETERS angstrom
6.350 0.000 -0.001
0.000 6.964 0.260
-3.176 -2.553 7.698


(18)
! Pm2Tm5Ni4 PBE-GGA optimized geometry; values from VASP
! DFT formation energy in eV per atom: -0.21
! Electronic total energy in eV/atom: -5.2122
! Calculated volume in Å³/f.u.: 265
&SYSTEM
  ibrav = 0, nat = 11, ntyp = 3
/
ATOMIC_SPECIES
Pm 145.00 Pm.upf
Ni 58.69 Ni.upf
Tm 168.93 Tm.upf
ATOMIC_POSITIONS crystal
Pm 0.086 0.516 0.172
Pm 0.914 0.484 0.828
Ni 0.969 0.313 0.938
Ni 0.728 0.868 0.456
Ni 0.031 0.687 0.062
Ni 0.272 0.132 0.544
Tm 0.650 0.401 0.300
Tm 0.500 0.000 0.000
Tm 0.789 0.735 0.578
Tm 0.211 0.265 0.422
Tm 0.350 0.599 0.700
CELL_PARAMETERS angstrom
-2.883 -0.389 -2.510
-0.566 -3.448 1.185
-8.874 16.924 10.511


(19)
! PmTm3Ni2 PBE-GGA optimized geometry; values from VASP
! DFT formation energy in eV per atom: -0.24
! Electronic total energy in eV/atom: -5.1941
! Calculated volume in Å³/f.u.: 152
&SYSTEM
  ibrav = 0, nat = 12, ntyp = 3
/
ATOMIC_SPECIES
Ni 58.69 Ni.upf
Tm 168.93 Tm.upf
Pm 145.00 Pm.upf
ATOMIC_POSITIONS crystal
Ni 0.615 0.149 0.621
Ni 0.188 0.579 0.045
Ni 0.385 0.851 0.379
Ni 0.812 0.421 0.955
Tm 0.948 0.901 0.203
Tm 0.188 0.185 0.439
Tm 0.052 0.099 0.797
Tm 0.353 0.224 0.069
Tm 0.647 0.776 0.931
Tm 0.812 0.815 0.561
Pm 0.608 0.526 0.259
Pm 0.392 0.474 0.741
CELL_PARAMETERS angstrom
4.012 0.000 0.000
2.006 7.856 -0.882
2.006 0.858 9.564


(20)
! Pm2Tm3Ni2 PBE-GGA optimized geometry; values from VASP
! DFT formation energy in eV per atom: -0.26
! Electronic total energy in eV/atom: -5.1854
! Calculated volume in Å³/f.u.: 175
&SYSTEM
  ibrav = 0, nat = 7, ntyp = 3
/
ATOMIC_SPECIES
Tm 168.93 Tm.upf
Pm 145.00 Pm.upf
Ni 58.69 Ni.upf
ATOMIC_POSITIONS crystal
Tm 0.617 0.199 0.567
Tm 0.500 0.000 0.000
Tm 0.383 0.801 0.433
Pm 0.836 0.519 0.809
Pm 0.164 0.481 0.191
Ni 0.169 0.904 0.759
Ni 0.831 0.096 0.241
CELL_PARAMETERS angstrom
3.443 0.000 0.968
1.261 5.887 2.121
-0.508 -0.290 8.417